# MnSnPHS | Alexandria via LeMat-Bulk | PBE | optimized geometry
data_MnSnPHS
_chemical_formula_sum 'Mn1 Sn1 P1 H1 S1'
_space_group_name_H-M_alt 'P 1'
_space_group_IT_number 1
_cell_length_a 3.721
_cell_length_b 4.385
_cell_length_c 4.993
_cell_angle_alpha 73.55
_cell_angle_beta 77.12
_cell_angle_gamma 81.48
loop_
_space_group_symop_operation_xyz
'x,y,z'
loop_
_atom_site_label
_atom_site_type_symbol
_atom_site_fract_x
_atom_site_fract_y
_atom_site_fract_z
Mn1 Mn 0.000 0.000 0.000
Sn1 Sn 0.439 0.854 0.458
P1 P 0.510 0.272 0.833
H1 H 0.925 0.938 0.718
S1 S 0.104 0.465 0.145
# - density (Mg/m³) = 5.2
# - total energy (eV/cell) = -25.9
# - M_tot (μB per formula unit) = 0.00
# - D(E_F) (states/eV/atom) = 0.35
# - ΔE to the lowest computed polymorph (meV/atom) = 129.5